# 1
{"formula": "AlCoHg2", "functional": "PBE", "state": "optimized geometry", "cell": [[6.3264, -0.0208, 0.0370], [5.6696, 2.8071, 0.0370], [1.5913, 0.3696, 4.2018]], "species": ["Co", "Hg", "Hg", "Al"], "frac_coords": [[0.2369, 0.2369, 0.2633], [0.9473, 0.9473, 0.0531], [0.7461, 0.7461, 0.7541], [0.5697, 0.5697, 0.4295]], "rho_g_cm3": 10.793, "e_form_kj_per_mol_atoms": 16.65, "magmom_total_mub_per_cell": 0.8, "e_above_lowest_polymorph_mev_per_atom": 120}

# 2
{"formula": "AlCo2Hg", "functional": "PBE", "state": "optimized geometry", "cell": [[4.3274, -0.0036, 0.0035], [3.4049, 2.6708, 0.0035], [0.9546, 0.3293, 5.0597]], "species": ["Co", "Co", "Hg", "Al"], "frac_coords": [[0.9900, 0.9900, 0.0554], [0.5100, 0.5100, 0.4446], [0.7500, 0.7500, 0.7500], [0.2500, 0.2500, 0.2500]], "rho_g_cm3": 9.800, "e_form_kj_per_mol_atoms": 16.21, "magmom_total_mub_per_cell": 2.0, "e_above_lowest_polymorph_mev_per_atom": 157}

# 3
{"formula": "AlCo2Hg", "functional": "PBE", "state": "optimized geometry", "cell": [[-6.4009, -5.4827, -0.6959], [-5.5278, -5.4274, -3.3917], [-4.2600, -7.1440, -1.5264]], "species": ["Co", "Co", "Hg", "Al"], "frac_coords": [[0.0080, 0.0080, 0.0080], [0.4920, 0.4920, 0.4920], [0.2500, 0.2500, 0.2500], [0.7500, 0.7500, 0.7500]], "rho_g_cm3": 9.938, "e_form_kj_per_mol_atoms": 18.14, "magmom_total_mub_per_cell": 2.1, "e_above_lowest_polymorph_mev_per_atom": 177}

# 4
{"formula": "AlCo2Hg", "functional": "PBE", "state": "optimized geometry", "cell": [[3.8713, 0.0000, 0.0000], [0.0000, 3.8713, 0.0000], [1.9357, 1.9357, 8.7921]], "species": ["Co", "Co", "Co", "Co", "Hg", "Hg", "Al", "Al"], "frac_coords": [[0.5300, 0.1250, 0.2500], [0.2200, 0.6250, 0.2500], [0.3750, 0.4700, 0.7500], [0.8750, 0.7800, 0.7500], [0.0000, 0.0000, 0.0000], [0.7500, 0.2500, 0.5000], [0.5000, 0.5000, 0.0000], [0.2500, 0.7500, 0.5000]], "rho_g_cm3": 8.706, "e_form_kj_per_mol_atoms": 43.58, "magmom_total_mub_per_cell": 5.1, "e_above_lowest_polymorph_mev_per_atom": 441}

# 5
{"formula": "AlCoHg2", "functional": "PBE", "state": "optimized geometry", "cell": [[2.9532, 0.0000, 0.0000], [0.0000, 2.9532, 0.0000], [0.0000, 0.0000, 8.2660]], "species": ["Co", "Hg", "Hg", "Al"], "frac_coords": [[0.5000, 0.5000, 0.7123], [0.0000, 0.0000, 0.9445], [0.5000, 0.5000, 0.2770], [0.0000, 0.0000, 0.5662]], "rho_g_cm3": 11.220, "e_form_kj_per_mol_atoms": 7.33, "magmom_total_mub_per_cell": 0.0, "e_above_lowest_polymorph_mev_per_atom": 23}

# 6
{"formula": "AlCo2Hg", "functional": "PBE", "state": "optimized geometry", "cell": [[6.7282, -0.0022, -0.0050], [-2.6706, 3.2925, 0.0273], [1.3869, 1.1049, 2.4851]], "species": ["Co", "Co", "Hg", "Al"], "frac_coords": [[0.0000, 0.0000, 0.0000], [0.5000, 0.0000, 0.5000], [0.0000, 0.5000, 0.5000], [0.5000, 0.5000, 0.0000]], "rho_g_cm3": 10.454, "e_form_kj_per_mol_atoms": 11.30, "magmom_total_mub_per_cell": 0.3, "e_above_lowest_polymorph_mev_per_atom": 106}

# 7
{"formula": "AlCo2Hg", "functional": "PBE", "state": "optimized geometry", "cell": [[-8.4038, -1.4319, -2.0888], [-8.3088, -2.7996, 0.4052], [-8.7706, 0.0079, 0.3386]], "species": ["Co", "Co", "Hg", "Al"], "frac_coords": [[0.9968, 0.9968, 0.9968], [0.2622, 0.2622, 0.2622], [0.5047, 0.5047, 0.5047], [0.7363, 0.7363, 0.7363]], "rho_g_cm3": 9.484, "e_form_kj_per_mol_atoms": 26.71, "magmom_total_mub_per_cell": 3.2, "e_above_lowest_polymorph_mev_per_atom": 266}

# 8
{"formula": "AlCo3Hg", "functional": "PBE", "state": "optimized geometry", "cell": [[-2.6117, 3.3162, -0.8856], [-0.3449, -1.3607, -4.0782], [-3.4151, -2.3987, 1.0891]], "species": ["Co", "Co", "Co", "Hg", "Al"], "frac_coords": [[0.0000, 0.5000, 0.0000], [0.0000, 0.0000, 0.5000], [0.5000, 0.0000, 0.0000], [0.5000, 0.5000, 0.5000], [0.0000, 0.0000, 0.0000]], "rho_g_cm3": 8.369, "e_form_kj_per_mol_atoms": 85.50, "magmom_total_mub_per_cell": 3.4, "e_above_lowest_polymorph_mev_per_atom": 0}

Repeat the fifth record exactly.
{"formula": "AlCoHg2", "functional": "PBE", "state": "optimized geometry", "cell": [[2.9532, 0.0000, 0.0000], [0.0000, 2.9532, 0.0000], [0.0000, 0.0000, 8.2660]], "species": ["Co", "Hg", "Hg", "Al"], "frac_coords": [[0.5000, 0.5000, 0.7123], [0.0000, 0.0000, 0.9445], [0.5000, 0.5000, 0.2770], [0.0000, 0.0000, 0.5662]], "rho_g_cm3": 11.220, "e_form_kj_per_mol_atoms": 7.33, "magmom_total_mub_per_cell": 0.0, "e_above_lowest_polymorph_mev_per_atom": 23}

What did the second record say?
{"formula": "AlCo2Hg", "functional": "PBE", "state": "optimized geometry", "cell": [[4.3274, -0.0036, 0.0035], [3.4049, 2.6708, 0.0035], [0.9546, 0.3293, 5.0597]], "species": ["Co", "Co", "Hg", "Al"], "frac_coords": [[0.9900, 0.9900, 0.0554], [0.5100, 0.5100, 0.4446], [0.7500, 0.7500, 0.7500], [0.2500, 0.2500, 0.2500]], "rho_g_cm3": 9.800, "e_form_kj_per_mol_atoms": 16.21, "magmom_total_mub_per_cell": 2.0, "e_above_lowest_polymorph_mev_per_atom": 157}